1.
Here is an optimized crystal structure of HfZnAg from the Open Quantum Materials Database. Energies are from PBE.

Computed properties:
- Crystal system: tetragonal
- Energy of formation: 0.021 eV/atom
- Final energy: -4.66 eV/atom

a b c (Å): 3.306 3.306 9.823
angles (deg): 90.00 90.00 90.00
Sites, in units of the cell vectors:
Ag  0.000  0.500  0.079
Ag  0.500  0.000  0.921
Hf  0.500  0.000  0.255
Hf  0.000  0.500  0.745
Zn  0.000  0.500  0.429
Zn  0.500  0.000  0.571

=====

2.
Here is an optimized crystal structure of HfZnAg from the Open Quantum Materials Database. Energies are from PBE.

Computed properties:
- Crystal system: cubic
- Energy of formation: 0.248 eV/atom
- Final energy: -4.43 eV/atom

a b c (Å): 4.434 4.434 4.434
angles (deg): 60.00 60.00 60.00
Sites, in units of the cell vectors:
Ag  0.000  0.000  0.000
Hf  0.250  0.250  0.250
Zn  0.750  0.750  0.750

=====

3.
Here is an optimized crystal structure of HfZn2Ag from the Open Quantum Materials Database. Energies are from PBE.

Computed properties:
- Crystal system: cubic
- Energy of formation: -0.062 eV/atom
- Final energy: -3.89 eV/atom

a b c (Å): 4.573 4.573 4.573
angles (deg): 60.00 60.00 60.00
Sites, in units of the cell vectors:
Ag  0.750  0.750  0.750
Hf  0.500  0.500  0.500
Zn  0.000  0.000  0.000
Zn  0.250  0.250  0.250

=====

4.
Here is an optimized crystal structure of HfZn2Ag from the Open Quantum Materials Database. Energies are from PBE.

Computed properties:
- Crystal system: cubic
- Energy of formation: -0.062 eV/atom
- Final energy: -3.89 eV/atom

a b c (Å): 4.573 4.573 4.573
angles (deg): 60.00 60.00 60.00
Sites, in units of the cell vectors:
Ag  0.500  0.500  0.500
Hf  0.750  0.750  0.750
Zn  0.000  0.000  0.000
Zn  0.250  0.250  0.250

=====

5.
Here is an optimized crystal structure of HfZnAg from the Open Quantum Materials Database. Energies are from PBE.

Computed properties:
- Crystal system: cubic
- Energy of formation: 0.499 eV/atom
- Final energy: -4.18 eV/atom

a b c (Å): 4.522 4.522 4.522
angles (deg): 60.00 60.00 60.00
Sites, in units of the cell vectors:
Ag  0.250  0.250  0.250
Hf  0.000  0.000  0.000
Zn  0.750  0.750  0.750

=====

6.
Here is an optimized crystal structure of HfZnAg from the Open Quantum Materials Database. Energies are from PBE.

Computed properties:
- Crystal system: tetragonal
- Energy of formation: -0.032 eV/atom
- Final energy: -4.71 eV/atom

a b c (Å): 5.456 5.456 5.456
angles (deg): 145.11 145.11 50.16
Sites, in units of the cell vectors:
Ag  0.681  0.681  0.000
Hf  0.994  0.994  0.000
Zn  0.325  0.325  0.000

=====

7.
Here is an optimized crystal structure of HfZrAg from the Open Quantum Materials Database. Energies are from PBE.

Computed properties:
- Crystal system: cubic
- Relative energy among the computed polymorphs: 616 meV per atom
- Energy of formation: 0.498 eV/atom
- Final energy: -6.61 eV/atom

a b c (Å): 4.644 4.644 4.644
angles (deg): 60.00 60.00 60.00
Sites, in units of the cell vectors:
Ag  0.000  0.000  0.000
Hf  0.250  0.250  0.250
Zr  0.750  0.750  0.750

=====

8.
Here is an optimized crystal structure of Hf3ZrAg2 from the Open Quantum Materials Database. Energies are from PBE.

Computed properties:
- Crystal system: tetragonal
- Energy of formation: -0.118 eV/atom
- Final energy: -7.46 eV/atom

a b c (Å): 3.232 3.232 11.926
angles (deg): 90.00 90.00 90.00
Sites, in units of the cell vectors:
Ag  0.000  0.000  0.501
Ag  0.500  0.500  0.996
Hf  0.500  0.500  0.338
Hf  0.500  0.500  0.665
Hf  0.000  0.000  0.834
Zr  0.000  0.000  0.166

=====

9.
Here is an optimized crystal structure of HfZrAg4 from the Open Quantum Materials Database. Energies are from PBE.

Computed properties:
- Crystal system: tetragonal
- Energy of formation: -0.030 eV/atom
- Final energy: -5.00 eV/atom

a b c (Å): 3.543 3.543 9.011
angles (deg): 90.00 90.00 90.00
Sites, in units of the cell vectors:
Ag  0.500  0.500  0.168
Ag  0.000  0.000  0.326
Ag  0.000  0.000  0.674
Ag  0.500  0.500  0.832
Hf  0.000  0.000  0.000
Zr  0.500  0.500  0.500

=====

10.
Here is an optimized crystal structure of HfZrAg6 from the Open Quantum Materials Database. Energies are from PBE.

Computed properties:
- Crystal system: orthorhombic
- Energy of formation: -0.020 eV/atom
- Final energy: -4.45 eV/atom

a b c (Å): 4.850 6.081 4.972
angles (deg): 90.00 90.00 90.00
Sites, in units of the cell vectors:
Ag  0.000  0.500  0.172
Ag  0.500  0.245  0.334
Ag  0.500  0.755  0.334
Ag  0.000  0.250  0.664
Ag  0.000  0.750  0.664
Ag  0.500  0.000  0.831
Hf  0.000  0.000  0.157
Zr  0.500  0.500  0.841

=====

11.
Here is an optimized crystal structure of HfZrAg from the Open Quantum Materials Database. Energies are from PBE.

Computed properties:
- Crystal system: tetragonal
- Relative energy among the computed polymorphs: 0 meV per atom
- Energy of formation: -0.118 eV/atom
- Final energy: -7.23 eV/atom

a b c (Å): 6.451 6.451 6.451
angles (deg): 150.97 150.97 41.51
Sites, in units of the cell vectors:
Ag  0.670  0.670  0.000
Hf  0.330  0.330  0.000
Zr  0.000  0.000  0.000

=====

12.
Here is an optimized crystal structure of HfZrAg from the Open Quantum Materials Database. Energies are from PBE.

Computed properties:
- Crystal system: tetragonal
- Relative energy among the computed polymorphs: 2 meV per atom
- Energy of formation: -0.116 eV/atom
- Final energy: -7.22 eV/atom

a b c (Å): 3.245 3.245 11.941
angles (deg): 90.00 90.00 90.00
Sites, in units of the cell vectors:
Ag  0.000  0.000  0.000
Ag  0.500  0.500  0.500
Hf  0.000  0.000  0.338
Hf  0.000  0.000  0.662
Zr  0.500  0.500  0.166
Zr  0.500  0.500  0.834

=====

13.
Here is an optimized crystal structure of Hf2Zr3Ag2 from the Open Quantum Materials Database. Energies are from PBE.

Computed properties:
- Crystal system: trigonal
- Energy of formation: 0.057 eV/atom
- Final energy: -7.26 eV/atom

a b c (Å): 7.581 7.581 7.581
angles (deg): 37.74 37.74 37.74
Sites, in units of the cell vectors:
Ag  0.053  0.053  0.053
Ag  0.484  0.484  0.484
Hf  0.193  0.193  0.193
Hf  0.769  0.769  0.769
Zr  0.341  0.341  0.341
Zr  0.620  0.620  0.620
Zr  0.915  0.915  0.915

=====

14.
Here is an optimized crystal structure of HfZr2Ag from the Open Quantum Materials Database. Energies are from PBE.

Computed properties:
- Crystal system: cubic
- Energy of formation: 0.131 eV/atom
- Final energy: -7.34 eV/atom

a b c (Å): 4.904 4.904 4.904
angles (deg): 60.00 60.00 60.00
Sites, in units of the cell vectors:
Ag  0.750  0.750  0.750
Hf  0.500  0.500  0.500
Zr  0.000  0.000  0.000
Zr  0.250  0.250  0.250

=====

15.
Here is an optimized crystal structure of Ag9Hg from the Open Quantum Materials Database. Energies are from PBE.

Computed properties:
- Crystal system: tetragonal
- Relative energy among the computed polymorphs: 0 meV per atom
- Energy of formation: 0.028 eV/atom
- Final energy: -2.54 eV/atom

a b c (Å): 2.906 2.906 48.837
angles (deg): 90.00 90.00 90.00
Sites, in units of the cell vectors:
Ag  0.500  0.000  0.137
Ag  0.000  0.500  0.179
Ag  0.500  0.000  0.222
Ag  0.000  0.500  0.265
Ag  0.500  0.000  0.308
Ag  0.000  0.500  0.351
Ag  0.500  0.000  0.393
Ag  0.000  0.500  0.436
Ag  0.500  0.000  0.479
Ag  0.000  0.500  0.521
Ag  0.500  0.000  0.564
Ag  0.000  0.500  0.607
Ag  0.500  0.000  0.649
Ag  0.000  0.500  0.692
Ag  0.500  0.000  0.735
Ag  0.000  0.500  0.778
Ag  0.500  0.000  0.821
Ag  0.000  0.500  0.863
Hg  0.000  0.500  0.087
Hg  0.500  0.000  0.913

=====

16.
Here is an optimized crystal structure of AgHg from the Open Quantum Materials Database. Energies are from PBE.

Computed properties:
- Crystal system: hexagonal
- Relative energy among the computed polymorphs: 0 meV per atom
- Energy of formation: 0.066 eV/atom
- Final energy: -1.49 eV/atom

a b c (Å): 3.126 3.126 4.834
angles (deg): 90.00 90.00 120.00
Sites, in units of the cell vectors:
Ag  0.667  0.333  0.750
Hg  0.333  0.667  0.250

=====

17.
Here is an optimized crystal structure of Ag9Hg2 from the Open Quantum Materials Database. Energies are from PBE.

Computed properties:
- Crystal system: trigonal
- Energy of formation: 0.056 eV/atom
- Final energy: -2.31 eV/atom

a b c (Å): 2.927 2.927 34.849
angles (deg): 90.00 90.00 120.00
Sites, in units of the cell vectors:
Ag  0.333  0.667  0.226
Ag  0.000  0.000  0.295
Ag  0.667  0.333  0.363
Ag  0.333  0.667  0.432
Ag  0.000  0.000  0.500
Ag  0.667  0.333  0.568
Ag  0.333  0.667  0.637
Ag  0.000  0.000  0.705
Ag  0.667  0.333  0.774
Hg  0.667  0.333  0.149
Hg  0.333  0.667  0.851

=====

18.
Here is an optimized crystal structure of AgHg from the Open Quantum Materials Database. Energies are from PBE.

Computed properties:
- Crystal system: cubic
- Relative energy among the computed polymorphs: 353 meV per atom
- Energy of formation: 0.419 eV/atom
- Final energy: -1.14 eV/atom

a b c (Å): 4.496 4.496 4.496
angles (deg): 60.00 60.00 60.00
Sites, in units of the cell vectors:
Ag  0.000  0.000  0.000
Hg  0.250  0.250  0.250

=====

19.
Here is an optimized crystal structure of Ag17Hg from the Open Quantum Materials Database. Energies are from PBE.

Computed properties:
- Crystal system: monoclinic
- Relative energy among the computed polymorphs: 2 meV per atom
- Energy of formation: 0.060 eV/atom
- Final energy: -2.62 eV/atom

a b c (Å): 5.019 5.805 32.682
angles (deg): 90.00 90.04 90.00
Sites, in units of the cell vectors:
Ag  0.335  0.500  0.205
Ag  0.834  0.251  0.205
Ag  0.834  0.749  0.205
Ag  0.000  0.500  0.279
Ag  0.500  0.250  0.279
Ag  0.500  0.750  0.279
Ag  0.000  0.000  0.279
Ag  0.167  0.250  0.352
Ag  0.167  0.750  0.352
Ag  0.665  0.000  0.353
Ag  0.668  0.500  0.353
Ag  0.334  0.500  0.426
Ag  0.333  0.000  0.426
Ag  0.834  0.250  0.426
Ag  0.834  0.750  0.426
Ag  0.000  0.500  0.500
Ag  0.500  0.250  0.500
Ag  0.500  0.750  0.500
Ag  0.000  0.000  0.500
Ag  0.166  0.250  0.574
Ag  0.166  0.750  0.574
Ag  0.667  0.500  0.574
Ag  0.666  0.000  0.574
Ag  0.332  0.000  0.647
Ag  0.335  0.500  0.647
Ag  0.833  0.250  0.648
Ag  0.833  0.750  0.648
Ag  0.000  0.500  0.721
Ag  0.500  0.250  0.721
Ag  0.500  0.750  0.721
Ag  0.000  0.000  0.721
Ag  0.166  0.249  0.795
Ag  0.166  0.751  0.795
Ag  0.665  0.000  0.795
Hg  0.334  0.000  0.191
Hg  0.666  0.500  0.809

=====

20.
Here is an optimized crystal structure of Ag9Hg from the Open Quantum Materials Database. Energies are from PBE.

Computed properties:
- Crystal system: orthorhombic
- Relative energy among the computed polymorphs: 13 meV per atom
- Energy of formation: 0.041 eV/atom
- Final energy: -2.53 eV/atom

a b c (Å): 2.940 4.016 36.017
angles (deg): 90.00 90.00 90.00
Sites, in units of the cell vectors:
Ag  0.000  0.000  0.020
Ag  0.500  0.500  0.061
Ag  0.000  0.000  0.102
Ag  0.500  0.500  0.144
Ag  0.000  0.000  0.185
Ag  0.500  0.500  0.226
Ag  0.000  0.000  0.268
Ag  0.500  0.500  0.309
Ag  0.000  0.000  0.351
Ag  0.500  0.500  0.649
Ag  0.000  0.000  0.691
Ag  0.500  0.500  0.732
Ag  0.000  0.000  0.774
Ag  0.500  0.500  0.815
Ag  0.000  0.000  0.856
Ag  0.500  0.500  0.898
Ag  0.000  0.000  0.939
Ag  0.500  0.500  0.980
Hg  0.500  0.500  0.399
Hg  0.000  0.000  0.601

=====

21.
Here is an optimized crystal structure of Ag7Hg2 from the Open Quantum Materials Database. Energies are from PBE.

Computed properties:
- Crystal system: trigonal
- Energy of formation: 0.068 eV/atom
- Final energy: -2.20 eV/atom

a b c (Å): 2.926 2.926 30.131
angles (deg): 90.00 90.00 120.00
Sites, in units of the cell vectors:
Ag  0.667  0.333  0.261
Ag  0.333  0.667  0.341
Ag  0.000  0.000  0.420
Ag  0.667  0.333  0.500
Ag  0.333  0.667  0.580
Ag  0.000  0.000  0.659
Ag  0.667  0.333  0.739
Hg  0.000  0.000  0.172
Hg  0.333  0.667  0.828

=====

22.
Here is an optimized crystal structure of Ag17Hg from the Open Quantum Materials Database. Energies are from PBE.

Computed properties:
- Crystal system: trigonal
- Relative energy among the computed polymorphs: 0 meV per atom
- Energy of formation: 0.058 eV/atom
- Final energy: -2.63 eV/atom

a b c (Å): 5.813 5.813 30.636
angles (deg): 90.00 90.00 60.01
Sites, in units of the cell vectors:
Ag  0.000  0.000  0.000
Ag  0.500  0.000  0.000
Ag  0.000  0.500  0.000
Ag  0.500  0.500  0.000
Ag  0.667  0.167  0.079
Ag  0.167  0.667  0.079
Ag  0.167  0.167  0.079
Ag  0.667  0.667  0.079
Ag  0.333  0.333  0.157
Ag  0.833  0.333  0.158
Ag  0.333  0.833  0.158
Ag  0.833  0.833  0.158
Ag  0.500  0.500  0.236
Ag  0.500  0.001  0.236
Ag  0.001  0.500  0.236
Ag  0.000  0.000  0.236
Ag  0.167  0.167  0.315
Ag  0.667  0.167  0.315
Ag  0.167  0.667  0.315
Ag  0.833  0.333  0.685
Ag  0.333  0.833  0.685
Ag  0.833  0.833  0.685
Ag  0.000  0.000  0.764
Ag  0.999  0.500  0.764
Ag  0.500  0.999  0.764
Ag  0.500  0.500  0.764
Ag  0.167  0.167  0.842
Ag  0.667  0.167  0.842
Ag  0.167  0.667  0.842
Ag  0.667  0.667  0.843
Ag  0.333  0.333  0.921
Ag  0.833  0.833  0.921
Ag  0.833  0.333  0.921
Ag  0.333  0.833  0.921
Hg  0.667  0.667  0.326
Hg  0.333  0.333  0.674

=====

23.
Here is an optimized crystal structure of Ag3Hg from the Open Quantum Materials Database. Energies are from PBE.

Computed properties:
- Crystal system: tetragonal
- Energy of formation: 0.020 eV/atom
- Final energy: -2.17 eV/atom

a b c (Å): 4.202 4.202 4.220
angles (deg): 90.00 90.00 90.00
Sites, in units of the cell vectors:
Ag  0.500  0.500  0.000
Ag  0.500  0.000  0.500
Ag  0.000  0.500  0.500
Hg  0.000  0.000  0.000

=====

24.
Here is an optimized crystal structure of AgHg from the Open Quantum Materials Database. Energies are from PBE.

Computed properties:
- Crystal system: cubic
- Relative energy among the computed polymorphs: 138 meV per atom
- Energy of formation: 0.204 eV/atom
- Final energy: -1.36 eV/atom

a b c (Å): 4.021 4.021 4.021
angles (deg): 60.00 60.00 60.00
Sites, in units of the cell vectors:
Ag  0.000  0.000  0.000
Hg  0.500  0.500  0.500